(1)
VASP calculation (GGA-PBEsol) on a relaxed structure of TiSiTcPd2.

abc: 4.320 4.320 4.605
angles: 90.00 90.00 90.00
Space group P4/mmm (No. 123)
One atom of each set of equivalent atoms:
Ti  0.000  0.000  0.000 (multiplicity 1)
Si  0.000  0.000  0.500 (multiplicity 1)
Tc  0.500  0.500  0.000 (multiplicity 1)
Pd  0.000  0.500  0.500 (multiplicity 2)

Output
- Formation energy from raw total energies: 0.603 eV/atom

(2)
VASP calculation (GGA-PBEsol) on a relaxed structure of ThSi2Pd2.

abc: 4.182 4.182 9.970
angles: 90.00 90.00 90.00
Space group I4/mmm (No. 139)
One atom of each set of equivalent atoms:
Th  0.000  0.000  0.000 (multiplicity 2)
Si  0.000  0.000  0.381 (multiplicity 4)
Pd  0.000  0.500  0.250 (multiplicity 4)

Output
- Formation energy from raw total energies: -1.008 eV/atom

(3)
VASP calculation (GGA-PBEsol) on a relaxed structure of Ti2SiPd.

abc: 7.009 7.009 5.114
angles: 90.00 90.00 90.00
Space group I-42d (No. 122)
One atom of each set of equivalent atoms:
Ti  0.249  0.250  0.125 (multiplicity 8)
Si  0.000  0.000  0.000 (multiplicity 4)
Pd  0.000  0.000  0.500 (multiplicity 4)

Output
- Formation energy from raw total energies: -0.224 eV/atom

(4)
VASP calculation (GGA-PBEsol) on a relaxed structure of Tm3Si6Pd20.

abc: 12.096 12.096 12.096
angles: 90.00 90.00 90.00
Space group Fm-3m (No. 225)
One atom of each set of equivalent atoms:
Tm  0.000  0.000  0.000 (multiplicity 4)
Tm  0.250  0.250  0.250 (multiplicity 8)
Si  0.000  0.000  0.268 (multiplicity 24)
Pd  0.000  0.173  0.173 (multiplicity 48)
Pd  0.117  0.117  0.383 (multiplicity 32)

Output
- Formation energy from raw total energies: -0.864 eV/atom

(5)
VASP calculation (GGA-PBEsol) on a relaxed structure of TmSi2Pd2.

abc: 4.062 4.062 9.893
angles: 90.00 90.00 90.00
Space group I4/mmm (No. 139)
One atom of each set of equivalent atoms:
Tm  0.000  0.000  0.000 (multiplicity 2)
Si  0.000  0.000  0.384 (multiplicity 4)
Pd  0.000  0.500  0.250 (multiplicity 4)

Output
- Formation energy from raw total energies: -0.988 eV/atom

(6)
VASP calculation (GGA-PBEsol) on a relaxed structure of USi2Pd2.

abc: 3.992 3.992 10.233
angles: 90.00 90.00 90.00
Space group I4/mmm (No. 139)
One atom of each set of equivalent atoms:
U  0.000  0.000  0.000 (multiplicity 2)
Si  0.000  0.000  0.389 (multiplicity 4)
Pd  0.000  0.500  0.250 (multiplicity 4)

Output
- Formation energy from raw total energies: -0.627 eV/atom